--- A ---
The following is a DFT calculation (PBE) of a relaxed structure of PrIn3Ag.

Results
- total moment (μB per atom) = 0.000
- V (Å³ per cell) = 256.9

Unit cell a=4.5627 b=4.5627 c=12.3419 alpha=90.00 beta=90.00 gamma=90.00
Space group I4mm (No. 107)
Symmetry-distinct sites (fractional):
Pr (0.0000, 0.0000, 0.0000) (multiplicity 2)
In (0.0000, 0.0000, 0.5982) (multiplicity 2)
In (0.0000, 0.5000, 0.2537) (multiplicity 4)
Ag (0.0000, 0.0000, 0.3845) (multiplicity 2)

***

--- B ---
The following is a DFT calculation (PBE) of a relaxed structure of PrIn3Ag.

Results
- total moment (μB per atom) = 0.000
- V (Å³ per cell) = 510.8

Unit cell a=14.8848 b=4.9377 c=7.1838 alpha=90.00 beta=104.65 gamma=90.00
Space group C2/m (No. 12)
Symmetry-distinct sites (fractional):
Pr (0.1267, 0.0000, 0.4594) (multiplicity 4)
In (0.0817, 0.0000, 0.9112) (multiplicity 4)
In (0.1588, 0.5000, 0.1794) (multiplicity 4)
In (0.2136, 0.5000, 0.7835) (multiplicity 4)
Ag (0.0163, 0.5000, 0.7015) (multiplicity 4)

***

Sorted by energy, starting with the most stable: A, B.

***

--- A ---
The following is a DFT calculation (PBE) of a relaxed structure of PrIn2Ag4.

Results
- total moment (μB per atom) = 0.000
- V (Å³ per cell) = 303.8

Unit cell a=7.2639 b=7.2639 c=5.7581 alpha=90.00 beta=90.00 gamma=90.00
Space group I4/mmm (No. 139)
Symmetry-distinct sites (fractional):
Pr (0.0000, 0.0000, 0.0000) (multiplicity 2)
In (0.0000, 0.5000, 0.2500) (multiplicity 4)
Ag (0.1929, 0.1929, 0.5000) (multiplicity 8)

***

--- B ---
The following is a DFT calculation (PBE) of a relaxed structure of PrIn2Ag4.

Results
- total moment (μB per atom) = 0.000
- V (Å³ per cell) = 410.7

Unit cell a=8.3624 b=8.3624 c=5.8732 alpha=90.00 beta=90.00 gamma=90.00
Space group I4/mmm (No. 139)
Symmetry-distinct sites (fractional):
Pr (0.0000, 0.0000, 0.0000) (multiplicity 2)
In (0.0000, 0.5000, 0.2500) (multiplicity 4)
Ag (0.0000, 0.2249, 0.5000) (multiplicity 8)

***

Sorted by energy, starting with the most stable: A, B.

***

--- A ---
The following is a DFT calculation (PBE) of a relaxed structure of Pr4InAg.

Results
- total moment (μB per atom) = 0.000
- V (Å³ per cell) = 819.9

Unit cell a=5.7070 b=21.4821 c=6.6874 alpha=90.00 beta=90.00 gamma=90.00
Space group Cmc2_1 (No. 36)
Symmetry-distinct sites (fractional):
Pr (0.0000, 0.0599, 0.0000) (multiplicity 4)
Pr (0.0000, 0.2055, 0.2625) (multiplicity 4)
Pr (0.0000, 0.2160, 0.7835) (multiplicity 4)
Pr (0.0000, 0.3812, 0.0332) (multiplicity 4)
In (0.0000, 0.3491, 0.5225) (multiplicity 4)
Ag (0.0000, 0.0805, 0.5111) (multiplicity 4)

***

--- B ---
The following is a DFT calculation (PBE) of a relaxed structure of Pr4InAg.

Results
- total moment (μB per atom) = 0.259
- V (Å³ per cell) = 375.9

Unit cell a=13.1779 b=3.8207 c=7.8159 alpha=90.00 beta=107.20 gamma=90.00
Space group C2/m (No. 12)
Symmetry-distinct sites (fractional):
Pr (0.1463, 0.0000, 0.3316) (multiplicity 4)
Pr (0.1527, 0.0000, 0.8188) (multiplicity 4)
In (0.0000, 0.5000, 0.0000) (multiplicity 2)
Ag (0.0000, 0.5000, 0.5000) (multiplicity 2)

***

Sorted by energy, starting with the most stable: B, A.

***

--- A ---
The following is a DFT calculation (PBE) of a relaxed structure of PrInAg2.

Results
- total moment (μB per atom) = 0.000
- V (Å³ per cell) = 97.8

Unit cell a=4.7360 b=4.7360 c=4.3587 alpha=90.00 beta=90.00 gamma=90.00
Space group P4/mmm (No. 123)
Symmetry-distinct sites (fractional):
Pr (0.0000, 0.0000, 0.0000) (multiplicity 1)
In (0.5000, 0.5000, 0.0000) (multiplicity 1)
Ag (0.0000, 0.5000, 0.5000) (multiplicity 2)

***

--- B ---
The following is a DFT calculation (PBE) of a relaxed structure of PrInAg2.

Results
- total moment (μB per atom) = 0.000
- V (Å³ per cell) = 369.1

Unit cell a=7.1731 b=7.1731 c=7.1731 alpha=90.00 beta=90.00 gamma=90.00
Space group Fm-3m (No. 225)
Symmetry-distinct sites (fractional):
Pr (0.0000, 0.0000, 0.0000) (multiplicity 4)
In (0.0000, 0.0000, 0.5000) (multiplicity 4)
Ag (0.2500, 0.2500, 0.2500) (multiplicity 8)

***

Sorted by energy, starting with the most stable: B, A.

***

--- A ---
The following is a DFT calculation (PBE) of a relaxed structure of Pr2InAg3.

Results
- total moment (μB per atom) = 0.000
- V (Å³ per cell) = 1185.2

Unit cell a=6.9506 b=9.8872 c=17.2457 alpha=90.00 beta=90.00 gamma=90.00
Space group Fmmm (No. 69)
Symmetry-distinct sites (fractional):
Pr (0.2431, 0.0000, 0.0000) (multiplicity 8)
Pr (0.2500, 0.2500, 0.2500) (multiplicity 8)
In (0.0000, 0.0000, 0.3336) (multiplicity 8)
Ag (0.0000, 0.0000, 0.1666) (multiplicity 8)
Ag (0.0000, 0.2502, 0.0826) (multiplicity 16)

***

--- B ---
The following is a DFT calculation (PBE) of a relaxed structure of Pr2InAg3.

Results
- total moment (μB per atom) = 0.000
- V (Å³ per cell) = 315.6

Unit cell a=3.7921 b=4.6701 c=17.8229 alpha=90.00 beta=90.00 gamma=90.00
Space group Imm2 (No. 44)
Symmetry-distinct sites (fractional):
Pr (0.0000, 0.0000, 0.0000) (multiplicity 2)
Pr (0.0000, 0.5000, 0.2531) (multiplicity 2)
In (0.0000, 0.0000, 0.5895) (multiplicity 2)
Ag (0.0000, 0.0000, 0.4316) (multiplicity 2)
Ag (0.0000, 0.5000, 0.6685) (multiplicity 2)
Ag (0.0000, 0.5000, 0.8229) (multiplicity 2)

***

Sorted by energy, starting with the most stable: A, B.

***

--- A ---
The following is a DFT calculation (PBE) of a relaxed structure of Pr3In3Ag2.

Results
- total moment (μB per atom) = 0.000
- V (Å³ per cell) = 875.9

Unit cell a=4.8181 b=11.2943 c=16.0954 alpha=90.00 beta=90.00 gamma=90.00
Space group Cmcm (No. 63)
Symmetry-distinct sites (fractional):
Pr (0.0000, 0.0941, 0.1082) (multiplicity 8)
Pr (0.0000, 0.3592, 0.2500) (multiplicity 4)
In (0.0000, 0.3523, 0.7500) (multiplicity 4)
In (0.0000, 0.3861, 0.0410) (multiplicity 8)
Ag (0.0000, 0.2061, 0.6021) (multiplicity 8)

***

--- B ---
The following is a DFT calculation (PBE) of a relaxed structure of Pr3In3Ag2.

Results
- total moment (μB per atom) = 0.000
- V (Å³ per cell) = 423.6

Unit cell a=18.4892 b=4.7167 c=5.0465 alpha=90.00 beta=105.75 gamma=90.00
Space group C2/m (No. 12)
Symmetry-distinct sites (fractional):
Pr (0.0000, 0.0000, 0.0000) (multiplicity 2)
Pr (0.1417, 0.0000, 0.6418) (multiplicity 4)
In (0.0000, 0.5000, 0.5000) (multiplicity 2)
In (0.1440, 0.5000, 0.1444) (multiplicity 4)
Ag (0.2433, 0.0000, 0.2430) (multiplicity 4)

***

Sorted by energy, starting with the most stable: A, B.

***

--- A ---
The following is a DFT calculation (PBE) of a relaxed structure of Pr3In4Ag4.

Results
- total moment (μB per atom) = 0.000
- V (Å³ per cell) = 552.4

Unit cell a=3.7355 b=4.9387 c=29.9449 alpha=90.00 beta=90.00 gamma=90.00
Space group Immm (No. 71)
Symmetry-distinct sites (fractional):
Pr (0.0000, 0.0000, 0.0000) (multiplicity 2)
Pr (0.0000, 0.5000, 0.1436) (multiplicity 4)
In (0.0000, 0.0000, 0.4510) (multiplicity 4)
In (0.0000, 0.5000, 0.3112) (multiplicity 4)
Ag (0.0000, 0.0000, 0.2622) (multiplicity 4)
Ag (0.0000, 0.5000, 0.4060) (multiplicity 4)

***

--- B ---
The following is a DFT calculation (PBE) of a relaxed structure of Pr3In4Ag4.

Results
- total moment (μB per atom) = 0.000
- V (Å³ per cell) = 553.7

Unit cell a=4.6683 b=7.5000 c=15.8135 alpha=90.00 beta=90.00 gamma=90.00
Space group Immm (No. 71)
Symmetry-distinct sites (fractional):
Pr (0.0000, 0.0000, 0.0000) (multiplicity 2)
Pr (0.0000, 0.5000, 0.1270) (multiplicity 4)
In (0.0000, 0.2997, 0.3308) (multiplicity 8)
Ag (0.0000, 0.0000, 0.2146) (multiplicity 4)
Ag (0.0000, 0.1895, 0.5000) (multiplicity 4)

***

Sorted by energy, starting with the most stable: A, B.

***

--- A ---
The following is a DFT calculation (PBE) of a relaxed structure of PrIn2Ag2.

Results
- total moment (μB per atom) = 0.000
- V (Å³ per cell) = 240.9

Unit cell a=9.2074 b=5.0754 c=5.4263 alpha=90.00 beta=108.20 gamma=90.00
Space group C2/m (No. 12)
Symmetry-distinct sites (fractional):
Pr (0.0000, 0.0000, 0.0000) (multiplicity 2)
In (0.2311, 0.5000, 0.3130) (multiplicity 4)
Ag (0.1132, 0.5000, 0.7450) (multiplicity 4)

***

--- B ---
The following is a DFT calculation (PBE) of a relaxed structure of PrIn2Ag2.

Results
- total moment (μB per atom) = 0.000
- V (Å³ per cell) = 130.3

Unit cell a=4.9725 b=4.9725 c=6.0830 alpha=90.00 beta=90.00 gamma=120.00
Space group P-3m1 (No. 164)
Symmetry-distinct sites (fractional):
Pr (0.0000, 0.0000, 0.0000) (multiplicity 1)
In (0.3333, 0.6667, 0.6902) (multiplicity 2)
Ag (0.3333, 0.6667, 0.2302) (multiplicity 2)

***

Sorted by energy, starting with the most stable: A, B.

***

--- A ---
The following is a DFT calculation (PBE) of a relaxed structure of Pr8InAg2.

Results
- total moment (μB per atom) = 0.000
- V (Å³ per cell) = 697.7

Unit cell a=16.8134 b=5.4835 c=8.7229 alpha=90.00 beta=119.83 gamma=90.00
Space group C2/m (No. 12)
Symmetry-distinct sites (fractional):
Pr (0.0698, 0.0000, 0.2247) (multiplicity 4)
Pr (0.0973, 0.5000, 0.9541) (multiplicity 4)
Pr (0.1416, 0.0000, 0.7014) (multiplicity 4)
Pr (0.1843, 0.5000, 0.4624) (multiplicity 4)
In (0.0000, 0.5000, 0.5000) (multiplicity 2)
Ag (0.2246, 0.0000, 0.1171) (multiplicity 4)

***

--- B ---
The following is a DFT calculation (PBE) of a relaxed structure of Pr8InAg2.

Results
- total moment (μB per atom) = 0.000
- V (Å³ per cell) = 710.9

Unit cell a=9.0729 b=14.7114 c=5.6221 alpha=90.00 beta=108.67 gamma=90.00
Space group C2/m (No. 12)
Symmetry-distinct sites (fractional):
Pr (0.0000, 0.2322, 0.0000) (multiplicity 4)
Pr (0.1052, 0.5000, 0.8075) (multiplicity 4)
Pr (0.1971, 0.1137, 0.5894) (multiplicity 8)
In (0.0000, 0.0000, 0.0000) (multiplicity 2)
Ag (0.0000, 0.3100, 0.5000) (multiplicity 4)

***

Sorted by energy, starting with the most stable: A, B.

***

--- A ---
The following is a DFT calculation (PBE) of a relaxed structure of PrIn3Ag2.

Results
- total moment (μB per atom) = 0.000
- V (Å³ per cell) = 580.8

Unit cell a=17.2972 b=4.7813 c=7.4484 alpha=90.00 beta=109.46 gamma=90.00
Space group C2/m (No. 12)
Symmetry-distinct sites (fractional):
Pr (0.1160, 0.0000, 0.1872) (multiplicity 4)
In (0.0686, 0.0000, 0.6886) (multiplicity 4)
In (0.1328, 0.5000, 0.5046) (multiplicity 4)
In (0.1948, 0.5000, 0.9438) (multiplicity 4)
Ag (0.0187, 0.5000, 0.8330) (multiplicity 4)
Ag (0.2350, 0.0000, 0.6469) (multiplicity 4)

***

--- B ---
The following is a DFT calculation (PBE) of a relaxed structure of PrIn3Ag2.

Results
- total moment (μB per atom) = 0.000
- V (Å³ per cell) = 589.0

Unit cell a=15.5805 b=8.2637 c=4.8020 alpha=90.00 beta=107.70 gamma=90.00
Space group C2/m (No. 12)
Symmetry-distinct sites (fractional):
Pr (0.1308, 0.0000, 0.1297) (multiplicity 4)
In (0.0000, 0.3330, 0.0000) (multiplicity 4)
In (0.1739, 0.2956, 0.6735) (multiplicity 8)
Ag (0.0000, 0.1645, 0.5000) (multiplicity 4)
Ag (0.1951, 0.5000, 0.1950) (multiplicity 4)

***

Sorted by energy, starting with the most stable: B, A.

***

--- A ---
The following is a DFT calculation (PBE) of a relaxed structure of Pr4In2Ag.

Results
- total moment (μB per atom) = 0.004
- V (Å³ per cell) = 672.6

Unit cell a=5.4361 b=5.4361 c=26.2812 alpha=90.00 beta=90.00 gamma=120.00
Space group R-3m (No. 166, hexagonal axes)
Symmetry-distinct sites (fractional):
Pr (0.0000, 0.0000, 0.1222) (multiplicity 6)
Pr (0.0000, 0.0000, 0.3734) (multiplicity 6)
In (0.0000, 0.0000, 0.2492) (multiplicity 6)
Ag (0.0000, 0.0000, 0.5000) (multiplicity 3)

***

--- B ---
The following is a DFT calculation (PBE) of a relaxed structure of Pr4In2Ag.

Results
- total moment (μB per atom) = 0.000
- V (Å³ per cell) = 439.9

Unit cell a=7.3695 b=6.7805 c=9.3012 alpha=90.00 beta=108.82 gamma=90.00
Space group P2_1/m (No. 11)
Symmetry-distinct sites (fractional):
Pr (0.0904, 0.2500, 0.0481) (multiplicity 2)
Pr (0.1701, 0.0089, 0.7189) (multiplicity 4)
Pr (0.3297, 0.7500, 0.3457) (multiplicity 2)
In (0.2244, 0.2500, 0.4282) (multiplicity 2)
In (0.4417, 0.7500, 0.0260) (multiplicity 2)
Ag (0.4932, 0.2500, 0.2778) (multiplicity 2)

***

Sorted by energy, starting with the most stable: A, B.

***

--- A ---
The following is a DFT calculation (PBE) of a relaxed structure of PrSmInAg.

Results
- total moment (μB per atom) = 0.105
- V (Å³ per cell) = 447.8

Unit cell a=7.6505 b=7.6505 c=7.6505 alpha=90.00 beta=90.00 gamma=90.00
Space group F-43m (No. 216)
Symmetry-distinct sites (fractional):
Pr (0.0000, 0.0000, 0.0000) (multiplicity 4)
Sm (0.0000, 0.0000, 0.5000) (multiplicity 4)
In (0.2500, 0.2500, 0.2500) (multiplicity 4)
Ag (0.2500, 0.2500, 0.7500) (multiplicity 4)

***

--- B ---
The following is a DFT calculation (PBE) of a relaxed structure of PrSmInAg.

Results
- total moment (μB per atom) = 0.000
- V (Å³ per cell) = 110.6

Unit cell a=3.7252 b=3.7252 c=7.9732 alpha=90.00 beta=90.00 gamma=90.00
Space group P4mm (No. 99)
Symmetry-distinct sites (fractional):
Pr (0.0000, 0.0000, 0.0000) (multiplicity 1)
Sm (0.0000, 0.0000, 0.5220) (multiplicity 1)
In (0.5000, 0.5000, 0.2667) (multiplicity 1)
Ag (0.5000, 0.5000, 0.7457) (multiplicity 1)

***

Sorted by energy, starting with the most stable: B, A.